No. 1
Compound: CrTeHRhAu2
Source: the Alexandria database
Functional: GGA-PBE
Structure: relaxed

Computed properties:
For the total magnetization, the calculation gives 7.4 μB/cell. For the energy above the most stable polymorph in this dataset, the calculation gives 68 meV per atom. The total energy is -29.1 eV/f.u.

a b c (Å): 10.7765 3.0950 5.9820
angles (deg): 90.00 96.78 90.00
Space group Cm (No. 8)
One atom of each set of equivalent atoms:
Cr 0.0000 0.0000 0.0000
Te 0.3196 0.0000 0.7513
H 0.0892 0.5000 0.7482
Rh 0.0854 0.0000 0.6069
Au 0.1763 0.5000 0.2446
Au 0.4046 0.0000 0.3257


No. 2
Compound: ThSbRhS
Source: the Alexandria database
Functional: GGA-PBE
Structure: relaxed

Computed properties:
For the total magnetization, the calculation gives 0.0 μB/cell. The total energy is -27.7 eV/f.u.

a b c (Å): 4.5978 4.5978 8.4297
angles (deg): 90.00 90.00 90.00
Space group P4/nmm (No. 129, origin choice 2)
One atom of each set of equivalent atoms:
Th 0.2500 0.2500 0.1988
Sb 0.2500 0.2500 0.6566
Rh 0.2500 0.7500 0.5000
S 0.2500 0.7500 0.0000


No. 3
Compound: Na2LaPd2
Source: the Alexandria database
Functional: GGA-PBE
Structure: relaxed

Computed properties:
For the total magnetization, the calculation gives 0.0 μB/cell. For the energy above the most stable polymorph in this dataset, the calculation gives 0 meV per atom. The total energy is -19.8 eV/f.u. The formation energy is -0.360 eV/atom.

a b c (Å): 4.0620 4.0620 14.3707
angles (deg): 90.00 90.00 90.00
Space group I4/mmm (No. 139)
One atom of each set of equivalent atoms:
Na 0.0000 0.5000 0.2500
La 0.0000 0.0000 0.0000
Pd 0.0000 0.0000 0.4058


What is the total magnetization in the second record? 0.0 μB/cell


What is the formula in the third record? Na2LaPd2